{"formula": "RbTi3AlO8", "functional": "GGA-PBEsol", "state": "relaxed", "e_form_raw_ev_per_atom": -2.937, "space_group": "Cm (8)", "dos_at_fermi_per_ev_atom": 0.000, "cell": [[7.0572, -1.4777, 0.0000], [7.0572, 1.4777, 0.0000], [-7.0487, 0.0000, 7.1073]], "species": ["Rb", "Ti", "Ti", "Ti", "Al", "O", "O", "O", "O", "O", "O", "O", "O"], "fractional_positions": [[0.0000, 0.0000, 0.0000], [0.3346, 0.3346, 0.4887], [0.6586, 0.6586, 0.5168], [0.8346, 0.8346, 0.1644], [0.1467, 0.1467, 0.8121], [0.0356, 0.0356, 0.3679], [0.2926, 0.2926, 0.6411], [0.3267, 0.3267, 0.2865], [0.3384, 0.3384, 0.0394], [0.6496, 0.6496, 0.9427], [0.6600, 0.6600, 0.7034], [0.7045, 0.7045, 0.3611], [0.9603, 0.9603, 0.6257]]}



{"formula": "Al2ReO", "functional": "GGA-PBEsol", "state": "relaxed", "e_form_raw_ev_per_atom": -0.507, "space_group": "I-42d (122)", "dos_at_fermi_per_ev_atom": 0.828, "cell": [[-2.8215, 2.8215, 3.3772], [2.8215, -2.8215, 3.3772], [2.8215, 2.8215, -3.3772]], "species": ["Al", "Al", "Al", "Al", "Re", "Re", "O", "O"], "fractional_positions": [[0.0279, 0.1250, 0.4029], [0.3750, 0.9721, 0.0971], [0.7221, 0.6250, 0.5971], [0.8750, 0.2779, 0.9029], [0.2500, 0.7500, 0.5000], [0.5000, 0.5000, 0.0000], [0.0000, 0.0000, 0.0000], [0.7500, 0.2500, 0.5000]]}



{"formula": "AlReTc2O", "functional": "GGA-PBEsol", "state": "relaxed", "e_form_raw_ev_per_atom": 0.811, "space_group": "P4/mmm (123)", "dos_at_fermi_per_ev_atom": 1.198, "cell": [[4.7657, 0.0000, 0.0000], [0.0000, 4.7657, 0.0000], [0.0000, 0.0000, 3.6720]], "species": ["Al", "Re", "Tc", "Tc", "O"], "fractional_positions": [[0.0000, 0.0000, 0.0000], [0.5000, 0.5000, 0.5000], [0.0000, 0.5000, 0.5000], [0.5000, 0.0000, 0.5000], [0.5000, 0.5000, 0.0000]]}



{"formula": "Al2TlReO", "functional": "GGA-PBEsol", "state": "relaxed", "e_form_raw_ev_per_atom": 2.204, "space_group": "P4/mmm (123)", "dos_at_fermi_per_ev_atom": 0.665, "cell": [[5.0527, 0.0000, 0.0000], [0.0000, 5.0527, 0.0000], [0.0000, 0.0000, 5.2223]], "species": ["Al", "Al", "Tl", "Re", "O"], "fractional_positions": [[0.0000, 0.5000, 0.0000], [0.5000, 0.0000, 0.0000], [0.0000, 0.0000, 0.0000], [0.0000, 0.0000, 0.5000], [0.5000, 0.5000, 0.5000]]}



{"formula": "AlReW2O", "functional": "GGA-PBEsol", "state": "relaxed", "e_form_raw_ev_per_atom": 2.152, "space_group": "P4/mmm (123)", "dos_at_fermi_per_ev_atom": 0.904, "cell": [[4.6935, 0.0000, 0.0000], [0.0000, 4.6935, 0.0000], [0.0000, 0.0000, 4.7191]], "species": ["Al", "Re", "W", "W", "O"], "fractional_positions": [[0.0000, 0.0000, 0.0000], [0.0000, 0.0000, 0.5000], [0.0000, 0.5000, 0.5000], [0.5000, 0.0000, 0.5000], [0.5000, 0.5000, 0.0000]]}



{"formula": "AlRh2O", "functional": "GGA-PBEsol", "state": "relaxed", "e_form_raw_ev_per_atom": 0.002, "space_group": "Fm-3m (225)", "dos_at_fermi_per_ev_atom": 1.221, "cell": [[0.0000, 2.8875, 2.8875], [2.8875, 0.0000, 2.8875], [2.8875, 2.8875, 0.0000]], "species": ["Al", "Rh", "Rh", "O"], "fractional_positions": [[0.0000, 0.0000, 0.0000], [0.2500, 0.2500, 0.2500], [0.7500, 0.7500, 0.7500], [0.5000, 0.5000, 0.5000]]}



{"formula": "AlRhO2", "functional": "GGA-PBEsol", "state": "relaxed", "e_form_raw_ev_per_atom": -1.962, "space_group": "R-3m (166)", "dos_at_fermi_per_ev_atom": 0.732, "cell": [[1.3862, 0.8004, 6.0023], [-1.3862, 0.8004, 6.0023], [0.0000, -1.6007, 6.0023]], "species": ["Al", "Rh", "O", "O"], "fractional_positions": [[0.0000, 0.0000, 0.0000], [0.5000, 0.5000, 0.5000], [0.3880, 0.3880, 0.3880], [0.6120, 0.6120, 0.6120]]}



{"formula": "AlRhO3", "functional": "GGA-PBEsol", "state": "relaxed", "e_form_raw_ev_per_atom": -1.855, "space_group": "P6_3/mmc (194)", "dos_at_fermi_per_ev_atom": 0.000, "cell": [[3.1200, 0.0000, 0.0000], [-1.5600, 2.7020, 0.0000], [0.0000, 0.0000, 11.6692]], "species": ["Al", "Al", "Rh", "Rh", "O", "O", "O", "O", "O", "O"], "fractional_positions": [[0.3333, 0.6667, 0.2500], [0.6667, 0.3333, 0.7500], [0.0000, 0.0000, 0.0000], [0.0000, 0.0000, 0.5000], [0.0000, 0.0000, 0.2500], [0.0000, 0.0000, 0.7500], [0.3333, 0.6667, 0.0843], [0.3333, 0.6667, 0.4157], [0.6667, 0.3333, 0.5843], [0.6667, 0.3333, 0.9157]]}



{"formula": "Al2RhO2", "functional": "GGA-PBEsol", "state": "relaxed", "e_form_raw_ev_per_atom": -1.146, "space_group": "P4/mbm (127)", "dos_at_fermi_per_ev_atom": 0.327, "cell": [[6.5175, 0.0000, 0.0000], [0.0000, 6.5175, 0.0000], [0.0000, 0.0000, 2.9651]], "species": ["Al", "Al", "Al", "Al", "Rh", "Rh", "O", "O", "O", "O"], "fractional_positions": [[0.2400, 0.2600, 0.0000], [0.2600, 0.7600, 0.0000], [0.7400, 0.2400, 0.0000], [0.7600, 0.7400, 0.0000], [0.0000, 0.0000, 0.5000], [0.5000, 0.5000, 0.5000], [0.1389, 0.3611, 0.5000], [0.3611, 0.8611, 0.5000], [0.6389, 0.1389, 0.5000], [0.8611, 0.6389, 0.5000]]}



{"formula": "AlRu3O", "functional": "GGA-PBEsol", "state": "relaxed", "e_form_raw_ev_per_atom": -0.011, "space_group": "Pm-3m (221)", "dos_at_fermi_per_ev_atom": 0.589, "cell": [[3.9824, 0.0000, 0.0000], [0.0000, 3.9824, 0.0000], [0.0000, 0.0000, 3.9824]], "species": ["Al", "Ru", "Ru", "Ru", "O"], "fractional_positions": [[0.0000, 0.0000, 0.0000], [0.0000, 0.5000, 0.5000], [0.5000, 0.0000, 0.5000], [0.5000, 0.5000, 0.0000], [0.5000, 0.5000, 0.5000]]}



{"formula": "AlSn2RuO", "functional": "GGA-PBEsol", "state": "relaxed", "e_form_raw_ev_per_atom": 0.203, "space_group": "P4/mmm (123)", "dos_at_fermi_per_ev_atom": 0.760, "cell": [[4.9528, 0.0000, 0.0000], [0.0000, 4.9528, 0.0000], [0.0000, 0.0000, 4.5831]], "species": ["Al", "Sn", "Sn", "Ru", "O"], "fractional_positions": [[0.0000, 0.0000, 0.0000], [0.0000, 0.5000, 0.5000], [0.5000, 0.0000, 0.5000], [0.0000, 0.0000, 0.5000], [0.5000, 0.5000, 0.0000]]}



{"formula": "Al5Sb3O16", "functional": "GGA-PBEsol", "state": "relaxed", "e_form_raw_ev_per_atom": -2.143, "space_group": "C2/m (12)", "dos_at_fermi_per_ev_atom": 0.503, "cell": [[4.7171, -5.7783, 0.0000], [4.7171, 5.7783, 0.0000], [-0.0934, 0.0000, 4.4715]], "species": ["Al", "Al", "Al", "Al", "Al", "Sb", "Sb", "Sb", "O", "O", "O", "O", "O", "O", "O", "O", "O", "O", "O", "O", "O", "O", "O", "O"], "fractional_positions": [[0.0000, 0.0000, 0.0000], [0.1355, 0.3869, 0.9968], [0.3869, 0.1355, 0.9968], [0.6131, 0.8645, 0.0032], [0.8645, 0.6131, 0.0032], [0.2298, 0.7702, 0.5000], [0.5000, 0.5000, 0.5000], [0.7702, 0.2298, 0.5000], [0.0225, 0.7895, 0.7544], [0.0835, 0.5913, 0.2083], [0.1694, 0.1694, 0.8123], [0.2105, 0.9775, 0.2456], [0.2751, 0.5402, 0.7085], [0.3506, 0.3506, 0.1921], [0.4087, 0.9165, 0.7917], [0.4598, 0.7249, 0.2915], [0.5402, 0.2751, 0.7085], [0.5913, 0.0835, 0.2083], [0.6494, 0.6494, 0.8079], [0.7249, 0.4598, 0.2915], [0.7895, 0.0225, 0.7544], [0.8306, 0.8306, 0.1877], [0.9165, 0.4087, 0.7917], [0.9775, 0.2105, 0.2456]]}



Please write out number 12 again, unchanged.
{"formula": "Al5Sb3O16", "functional": "GGA-PBEsol", "state": "relaxed", "e_form_raw_ev_per_atom": -2.143, "space_group": "C2/m (12)", "dos_at_fermi_per_ev_atom": 0.503, "cell": [[4.7171, -5.7783, 0.0000], [4.7171, 5.7783, 0.0000], [-0.0934, 0.0000, 4.4715]], "species": ["Al", "Al", "Al", "Al", "Al", "Sb", "Sb", "Sb", "O", "O", "O", "O", "O", "O", "O", "O", "O", "O", "O", "O", "O", "O", "O", "O"], "fractional_positions": [[0.0000, 0.0000, 0.0000], [0.1355, 0.3869, 0.9968], [0.3869, 0.1355, 0.9968], [0.6131, 0.8645, 0.0032], [0.8645, 0.6131, 0.0032], [0.2298, 0.7702, 0.5000], [0.5000, 0.5000, 0.5000], [0.7702, 0.2298, 0.5000], [0.0225, 0.7895, 0.7544], [0.0835, 0.5913, 0.2083], [0.1694, 0.1694, 0.8123], [0.2105, 0.9775, 0.2456], [0.2751, 0.5402, 0.7085], [0.3506, 0.3506, 0.1921], [0.4087, 0.9165, 0.7917], [0.4598, 0.7249, 0.2915], [0.5402, 0.2751, 0.7085], [0.5913, 0.0835, 0.2083], [0.6494, 0.6494, 0.8079], [0.7249, 0.4598, 0.2915], [0.7895, 0.0225, 0.7544], [0.8306, 0.8306, 0.1877], [0.9165, 0.4087, 0.7917], [0.9775, 0.2105, 0.2456]]}